Below is crystalline SrAg3Hg at its relaxed geometry, with properties calculated at the PBE-GGA level.

Calculated values
* DFT formation energy: -0.1858 eV per atom
* E above lowest polymorph: 0.000 eV/atom
* uncorrected energy: -2.29 eV/atom
* symmetry: Cm (8)
* calculated volume: 24.78 Å³/atom

extended XYZ file:
```
5
Lattice="-2.099 -3.017 -2.390 2.404 1.101 -3.498 4.573 -5.340 -1.269" Properties=species:S:1:pos:R:3 pbc="T T T"
Ag 0.320 -2.378 -4.132
Ag 2.579 -2.075 -2.475
Ag 2.738 -3.027 -5.421
Sr 3.833 -5.861 -2.799
Hg 5.070 -2.796 -3.738
```



Below is crystalline Co3TcPt12 at its relaxed geometry, with properties calculated at the PBE-GGA level.

Calculated values
* DFT formation energy: -0.0664 eV per atom
* uncorrected energy: -6.58 eV/atom
* symmetry: P4/mmm (123)
* calculated volume: 14.84 Å³/atom

extended XYZ file:
```
16
Lattice="3.903 0.000 0.000 0.000 3.903 0.000 0.000 0.000 15.590" Properties=species:S:1:pos:R:3 pbc="T T T"
Tc 0.000 0.000 0.000
Pt 1.951 1.951 3.925
Pt 0.000 1.951 1.974
Pt 0.000 1.951 5.859
Pt 1.951 1.951 0.000
Pt 1.951 1.951 11.665
Pt 0.000 1.951 9.731
Pt 1.951 0.000 5.859
Pt 1.951 0.000 13.616
Pt 1.951 1.951 7.795
Pt 1.951 0.000 9.731
Pt 0.000 1.951 13.616
Pt 1.951 0.000 1.974
Co 0.000 0.000 11.637
Co 0.000 0.000 7.795
Co 0.000 0.000 3.953
```



Below is crystalline EuIn2Cl4 at its relaxed geometry, with properties calculated at the PBE-GGA level.

Calculated values
* energy relative to the elements, uncorrected: -1.4204 eV per atom
* uncorrected energy: -4.73 eV/atom
* symmetry: I4/mmm (139)
* calculated volume: 35.78 Å³/atom

extended XYZ file:
```
7
Lattice="-3.528 -4.053 1.720 4.227 -2.502 2.775 -1.366 0.940 8.664" Properties=species:S:1:pos:R:3 pbc="T T T"
Eu 0.000 0.000 0.000
Cl -0.747 -0.582 6.349
Cl 0.080 -5.033 6.811
Cl 2.114 -1.251 1.387
Cl -1.764 -2.026 0.860
In -0.533 -3.526 9.104
In -0.134 -2.089 4.055
```



Number 1: Fermi-level density of states 0.4207 states/eV per atom. Number 2: Fermi-level density of states 1.5243 states/eV per atom. Number 3: Fermi-level density of states 0.8042 states/eV per atom.